{"formula": "LiVCo3P6O24", "functional": "GGA+U", "state": "relaxed", "cell": [[4.1163, 2.3766, 7.1223], [-4.1163, 2.3766, 7.1223], [0.0000, -4.7531, 7.1223]], "species": ["Li", "V", "Co", "Co", "Co", "P", "P", "P", "P", "P", "P", "O", "O", "O", "O", "O", "O", "O", "O", "O", "O", "O", "O", "O", "O", "O", "O", "O", "O", "O", "O", "O", "O", "O", "O"], "frac_coords": [[0.0000, 0.0000, 0.0000], [0.1525, 0.1525, 0.1525], [0.3654, 0.3654, 0.3654], [0.6564, 0.6564, 0.6564], [0.8684, 0.8684, 0.8684], [0.0347, 0.7608, 0.4824], [0.2626, 0.5521, 0.9746], [0.4824, 0.0347, 0.7608], [0.5521, 0.9746, 0.2626], [0.7608, 0.4824, 0.0347], [0.9746, 0.2626, 0.5521], [0.0113, 0.2033, 0.3878], [0.0148, 0.8260, 0.6299], [0.1061, 0.9111, 0.2710], [0.1162, 0.7613, 0.9009], [0.1742, 0.2343, 0.5404], [0.1931, 0.5545, 0.5049], [0.2033, 0.3878, 0.0113], [0.2343, 0.5404, 0.1742], [0.2710, 0.1061, 0.9111], [0.3878, 0.0113, 0.2033], [0.4743, 0.5162, 0.8235], [0.4901, 0.8343, 0.7926], [0.5049, 0.1931, 0.5545], [0.5162, 0.8235, 0.4743], [0.5404, 0.1742, 0.2343], [0.5545, 0.5049, 0.1931], [0.6299, 0.0148, 0.8260], [0.7613, 0.9009, 0.1162], [0.7926, 0.4901, 0.8343], [0.8235, 0.4743, 0.5162], [0.8260, 0.6299, 0.0148], [0.8343, 0.7926, 0.4901], [0.9009, 0.1162, 0.7613], [0.9111, 0.2710, 0.1061]], "spacegroup": "R3 (146)", "dft_energy_ev_per_atom": -6.718, "volume_a3_per_atom": 11.9}